# 1
DFT (GGA-PBE) results for crystalline LiHo2Tl at its relaxed geometry.

a b c (Å): 5.0101 5.0101 4.1060
angles (deg): 90.00 90.00 90.00
Positions (direct):
1 Li 0.0000 0.0000 0.0000
2 Ho 0.0000 0.5000 0.5000
3 Ho 0.5000 0.0000 0.5000
4 Tl 0.5000 0.5000 0.0000

Summary:
total magnetization: 0.00 μB per formula unit
SG: P4/mmm
E_form: -0.181 eV per atom


# 2
DFT (GGA-PBE) results for crystalline LiHo2Tl3 at its relaxed geometry.

a b c (Å): 14.2639 14.2639 6.5952
angles (deg): 90.00 90.00 166.14
Positions (direct):
1 Li 0.1610 0.8390 0.7500
2 Li 0.8390 0.1610 0.2500
3 Ho 0.3399 0.6601 0.7500
4 Ho 0.4957 0.5043 0.2500
5 Ho 0.5043 0.4957 0.7500
6 Ho 0.6601 0.3399 0.2500
7 Tl 0.0812 0.9188 0.0058
8 Tl 0.0812 0.9188 0.4942
9 Tl 0.2583 0.7417 0.2500
10 Tl 0.7417 0.2583 0.7500
11 Tl 0.9188 0.0812 0.5058
12 Tl 0.9188 0.0812 0.9942

Summary:
energy relative to the lowest polymorph listed for this composition: 135.5 meV/atom
total magnetization: 0.17 μB per formula unit
SG: Cmcm
E_form: -0.173 eV per atom


# 3
DFT (GGA-PBE) results for crystalline Li4Ho9Tl11 at its relaxed geometry.

a b c (Å): 13.5671 13.5671 3.5148
angles (deg): 90.00 90.00 111.77
Positions (direct):
1 Li 0.0465 0.2449 0.0000
2 Li 0.2449 0.0465 0.0000
3 Li 0.7551 0.9535 0.0000
4 Li 0.9535 0.7551 0.0000
5 Ho 0.0000 0.0000 0.0000
6 Ho 0.1310 0.6414 0.0000
7 Ho 0.2847 0.4382 0.0000
8 Ho 0.3586 0.8690 0.0000
9 Ho 0.4382 0.2847 0.0000
10 Ho 0.5618 0.7153 0.0000
11 Ho 0.6414 0.1310 0.0000
12 Ho 0.7153 0.5618 0.0000
13 Ho 0.8690 0.3586 0.0000
14 Tl 0.0822 0.4235 0.5000
15 Tl 0.1378 0.8622 0.5000
16 Tl 0.2011 0.2011 0.5000
17 Tl 0.3410 0.6590 0.5000
18 Tl 0.4235 0.0822 0.5000
19 Tl 0.5000 0.5000 0.5000
20 Tl 0.5765 0.9178 0.5000
21 Tl 0.6590 0.3410 0.5000
22 Tl 0.7989 0.7989 0.5000
23 Tl 0.8622 0.1378 0.5000
24 Tl 0.9178 0.5765 0.5000

Summary:
total magnetization: 0.21 μB per formula unit
SG: Cmmm
E_form: -0.261 eV per atom